1.
Crystalline Ac2TmCd3Hg12 at its relaxed geometry. Source: Alexandria via LeMat-Bulk, functional PBE.

Unit cell a=13.1214 b=13.1214 c=13.1214 alpha=30.80 beta=30.80 gamma=30.80
Fractional positions:
Ac: 0.3638 0.3638 0.3638
Ac: 0.6362 0.6362 0.6362
Hg: 0.8518 0.4060 0.4060
Hg: 0.8725 0.8725 0.4118
Hg: 0.5940 0.5940 0.1482
Hg: 0.1275 0.1275 0.5882
Hg: 0.5940 0.1482 0.5940
Hg: 0.5882 0.1275 0.1275
Hg: 0.4118 0.8725 0.8725
Hg: 0.1275 0.5882 0.1275
Hg: 0.4060 0.4060 0.8518
Hg: 0.8725 0.4118 0.8725
Hg: 0.4060 0.8518 0.4060
Hg: 0.1482 0.5940 0.5940
Cd: 0.0000 0.0000 0.5000
Cd: 0.0000 0.5000 0.0000
Cd: 0.5000 0.0000 0.0000
Tm: 0.0000 0.0000 0.0000

Size of the total moment in μB/f.u.: 0.0
SG: R-3m
DOS at the Fermi energy in states/eV/f.u.: 12.6
Crystal system: trigonal
Formation energy from the elements in meV per atom: -152
ρ in g cm⁻³: 10.64
Total DFT energy (no corrections) in eV/cell: -21.78

***

2.
Crystalline AcYCdHg at its relaxed geometry. Source: Alexandria via LeMat-Bulk, functional PBE.

Unit cell a=5.5423 b=5.5423 c=5.5423 alpha=60.00 beta=60.00 gamma=60.00
Site moments in Bohr magnetons follow the coordinates.
Fractional positions:
Y: 0.7500 0.7500 0.7500  0.17
Ac: 0.2500 0.2500 0.2500  0.08
Hg: 0.5000 0.5000 0.5000  0.02
Cd: 0.0000 0.0000 0.0000  0.01

Size of the total moment in μB/f.u.: 0.6
SG: F-43m
DOS at the Fermi energy in states/eV/f.u.: 4.8
Crystal system: cubic
Formation energy from the elements in meV per atom: -351
Polymorph energy (0 for the lowest one) in meV per atom: 37
ρ in g cm⁻³: 8.68
Total DFT energy (no corrections) in eV/cell: -13.19

***

3.
Crystalline Ac2YCd3Hg12 at its relaxed geometry. Source: Alexandria via LeMat-Bulk, functional PBE.

Unit cell a=13.1075 b=13.1075 c=13.1075 alpha=30.98 beta=30.98 gamma=30.98
Fractional positions:
Hg: 0.1283 0.1283 0.5848
Hg: 0.5936 0.5936 0.1504
Hg: 0.8717 0.8717 0.4152
Hg: 0.8496 0.4064 0.4064
Hg: 0.8717 0.4152 0.8717
Hg: 0.1283 0.5848 0.1283
Hg: 0.4152 0.8717 0.8717
Hg: 0.4064 0.4064 0.8496
Hg: 0.5848 0.1283 0.1283
Hg: 0.5936 0.1504 0.5936
Hg: 0.4064 0.8496 0.4064
Hg: 0.1504 0.5936 0.5936
Ac: 0.6358 0.6358 0.6358
Ac: 0.3642 0.3642 0.3642
Cd: 0.0000 0.5000 0.0000
Cd: 0.5000 0.0000 0.0000
Cd: 0.0000 0.0000 0.5000
Y: 0.0000 0.0000 0.0000

Size of the total moment in μB/f.u.: 0.0
SG: R-3m
DOS at the Fermi energy in states/eV/f.u.: 13.3
Crystal system: trigonal
Formation energy from the elements in meV per atom: -151
ρ in g cm⁻³: 10.31
Total DFT energy (no corrections) in eV/cell: -23.76

***

4.
Crystalline AcYCdHg at its relaxed geometry. Source: Alexandria via LeMat-Bulk, functional PBE.

Unit cell a=3.8481 b=3.8481 c=8.0017 alpha=90.00 beta=90.00 gamma=90.00
Site moments in Bohr magnetons follow the coordinates.
Fractional positions:
Hg: 0.0000 0.0000 0.3931  0.00
Y: 0.5000 0.5000 0.6022  0.03
Cd: 0.0000 0.0000 0.8244  0.00
Ac: 0.5000 0.5000 0.1083  0.07

Size of the total moment in μB/f.u.: 0.3
SG: P4mm
DOS at the Fermi energy in states/eV/f.u.: 4.1
Crystal system: tetragonal
Formation energy from the elements in meV per atom: -388
Polymorph energy (0 for the lowest one) in meV per atom: 0
ρ in g cm⁻³: 8.81
Total DFT energy (no corrections) in eV/cell: -13.34

***

5.
Crystalline Ac2ZnCdHg6 at its relaxed geometry. Source: Alexandria via LeMat-Bulk, functional PBE.

Unit cell a=7.1546 b=7.1546 c=13.0693 alpha=74.11 beta=74.11 gamma=60.00
Fractional positions:
Zn: 0.5000 0.5000 0.5000
Zn: 0.0000 0.0000 0.0000
Hg: 0.2188 0.2188 0.8979
Hg: 0.9240 0.3365 0.4031
Hg: 0.3355 0.7812 0.1021
Hg: 0.6635 0.0760 0.5969
Hg: 0.6645 0.2188 0.8979
Hg: 0.0760 0.6635 0.5969
Hg: 0.3365 0.3365 0.4031
Hg: 0.7812 0.7812 0.1021
Hg: 0.3365 0.9240 0.4031
Hg: 0.7812 0.3355 0.1021
Hg: 0.6635 0.6635 0.5969
Hg: 0.2188 0.6645 0.8979
Ac: 0.1107 0.1107 0.6680
Ac: 0.7185 0.7185 0.8445
Ac: 0.8893 0.8893 0.3320
Ac: 0.2815 0.2815 0.1555
Cd: 0.4257 0.4257 0.7230
Cd: 0.5743 0.5743 0.2770

Size of the total moment in μB/f.u.: 0.0
SG: R-3m
DOS at the Fermi energy in states/eV/f.u.: 5.0
Crystal system: trigonal
Formation energy from the elements in meV per atom: -212
ρ in g cm⁻³: 11.09
Total DFT energy (no corrections) in eV/cell: -28.67

***

6.
Crystalline Ac3ZnCd2Hg6 at its relaxed geometry. Source: Alexandria via LeMat-Bulk, functional PBE.

Unit cell a=6.5015 b=6.5015 c=9.5057 alpha=90.00 beta=90.00 gamma=120.00
Fractional positions:
Hg: 0.3494 0.1747 0.7197
Hg: 0.1747 0.3494 0.2803
Hg: 0.8253 0.1747 0.7197
Hg: 0.1747 0.8253 0.2803
Hg: 0.8253 0.6506 0.7197
Hg: 0.6506 0.8253 0.2803
Ac: 0.3333 0.6667 0.6107
Ac: 0.0000 0.0000 0.0000
Ac: 0.6667 0.3333 0.3893
Cd: 0.6667 0.3333 0.0054
Cd: 0.3333 0.6667 0.9946
Zn: 0.0000 0.0000 0.5000

Size of the total moment in μB/f.u.: 0.0
SG: P-3m1
DOS at the Fermi energy in states/eV/f.u.: 8.1
Crystal system: trigonal
Formation energy from the elements in meV per atom: -243
ρ in g cm⁻³: 10.38
Total DFT energy (no corrections) in eV/cell: -20.16